NiPS2O: optimized geometry, GGA+U.

Cell: 4.211 4.211 4.036 Å, 90.00 90.00 90.00°
Positions (direct):
Ni  0.000  0.000  0.000
P  0.500  0.500  0.000
S  0.000  0.500  0.500
S  0.500  0.000  0.500
O  0.500  0.500  0.500

Output
final energy = -3.07 eV per atom
calculated volume = 14.31 A^3/atom
SG = P4/mmm
magnetization = 0.8 μB/f.u.